(1)
# Na4Tl5Pb3 PBE relaxed
# Energy of formation (eV/atom): -0.09
# Excess energy over the best structure of this formula in the dataset (eV per atom): 0.0000
# Fermi-level density of states (states/eV per cell): 5.40
# Theoretical density (g cm⁻³): 8.140
data_Na4Tl5Pb3
_space_group_name_H-M_alt 'P -1'
_space_group_IT_number 2
_space_group_name_Hall '-P 1'
_cell_length_a 6.078
_cell_length_b 6.837
_cell_length_c 8.529
_cell_angle_alpha 92.39
_cell_angle_beta 90.15
_cell_angle_gamma 91.15
loop_
_atom_site_label
_atom_site_type_symbol
_atom_site_fract_x
_atom_site_fract_y
_atom_site_fract_z
Na1 Na 0.166 0.232 0.168
Na2 Na 0.322 0.495 0.825
Tl1 Tl 0.000 0.500 0.500
Tl2 Tl 0.326 0.998 0.834
Tl3 Tl 0.495 0.751 0.498
Pb1 Pb 0.000 0.000 0.500
Pb2 Pb 0.182 0.735 0.167

(2)
# Fe2SeBr PBE relaxed
# Excess energy over the best structure of this formula in the dataset (eV per atom): 0.2049
# Fermi-level density of states (states/eV per cell): 5.86
# E_form (uncorrected) (meV/atom): 54
# Theoretical density (g cm⁻³): 5.240
data_Fe2SeBr
_space_group_name_H-M_alt 'I m m 2'
_space_group_IT_number 44
_space_group_name_Hall 'I 2 -2'
_cell_length_a 3.397
_cell_length_b 3.589
_cell_length_c 14.065
_cell_angle_alpha 90.00
_cell_angle_beta 90.00
_cell_angle_gamma 90.00
loop_
_atom_site_label
_atom_site_type_symbol
_atom_site_fract_x
_atom_site_fract_y
_atom_site_fract_z
Fe1 Fe 0.000 0.000 0.000
Fe2 Fe 0.000 0.500 0.371
Se1 Se 0.000 0.500 0.859
Br1 Br 0.000 0.000 0.596

(3)
# MoSe6Br12 PBE relaxed
# E_form (uncorrected) (meV/atom): -90
# Theoretical density (g cm⁻³): 3.005
data_MoSe6Br12
_space_group_name_H-M_alt 'R -3'
_space_group_IT_number 148
_space_group_name_Hall '-R 3'
_cell_length_a 17.3359
_cell_length_b 17.3359
_cell_length_c 9.7352
_cell_angle_alpha 90.00
_cell_angle_beta 90.00
_cell_angle_gamma 120.00
loop_
_atom_site_label
_atom_site_type_symbol
_atom_site_fract_x
_atom_site_fract_y
_atom_site_fract_z
Mo1 Mo 0.0000 0.0000 0.0000
Se1 Se 0.0092 0.1222 0.1491
Br1 Br 0.0500 0.7959 0.9700
Br2 Br 0.0626 0.1578 0.6588

(4)
# Sr2LiIn6 PBE relaxed
# Energy of formation (eV/atom): -0.28
# Fermi-level density of states (states/eV per cell): 6.45
# Theoretical density (g cm⁻³): 5.591
data_Sr2LiIn6
_space_group_name_H-M_alt 'P 6/m m m'
_space_group_IT_number 191
_space_group_name_Hall '-P 6 2'
_cell_length_a 8.8284
_cell_length_b 8.8284
_cell_length_c 3.8331
_cell_angle_alpha 90.00
_cell_angle_beta 90.00
_cell_angle_gamma 120.00
loop_
_atom_site_label
_atom_site_type_symbol
_atom_site_fract_x
_atom_site_fract_y
_atom_site_fract_z
Sr1 Sr 0.3333 0.6667 0.0000
Li1 Li 0.0000 0.0000 0.0000
In1 In 0.0000 0.3280 0.5000

What is the formula in the second record? Fe2SeBr